# BeCdCu3 (PBE, relaxed)
# M_tot: 0.0 μB per formula unit
# ΔE_f: 1.3652 eV/atom
# Relative energy among the computed polymorphs: 1061.1 meV per atom
# Crystal system: cubic
data_BeCdCu3
_space_group_name_H-M_alt 'P m -3 m'
_space_group_IT_number 221
_space_group_name_Hall '-P 4 2 3'
_cell_length_a 4.747
_cell_length_b 4.747
_cell_length_c 4.747
_cell_angle_alpha 90.00
_cell_angle_beta 90.00
_cell_angle_gamma 90.00
loop_
_atom_site_label
_atom_site_fract_x
_atom_site_fract_y
_atom_site_fract_z
Be1 0.000 0.000 0.000
Cd1 0.500 0.500 0.500
Cu1 0.000 0.500 0.500